# 1
Compound: NaTi3Te
Source: Alexandria
Functional: PBE
Structure: optimized geometry

a = 4.7168 Å, b = 4.7168 Å, c = 4.7168 Å
α = 90.00°, β = 90.00°, γ = 90.00°
Space group Pm-3m (No. 221)
Unique sites:
Na 0.0000 0.0000 0.0000 [1 per cell]
Ti 0.0000 0.0000 0.5000 [3 per cell]
Te 0.5000 0.5000 0.5000 [1 per cell]

Properties
Polymorph energy (0 for the lowest one) = 50.7 kJ per mole of atoms
ΔE_f (raw) = 124.64 kJ/mol of atoms

# 2
Compound: TlCo2Cl8
Source: Alexandria
Functional: PBE
Structure: optimized geometry

a = 11.8698 Å, b = 10.5912 Å, c = 6.6362 Å
α = 90.00°, β = 95.00°, γ = 90.00°
Space group C2/m (No. 12)
Unique sites:
Tl 0.0000 0.0000 0.0000 [2 per cell]
Co 0.2378 0.0000 0.6235 [4 per cell]
Cl 0.0911 0.5000 0.2524 [4 per cell]
Cl 0.1478 0.1622 0.7311 [8 per cell]
Cl 0.2282 0.0000 0.2973 [4 per cell]

Properties
ΔE_f (raw) = -54.46 kJ/mol of atoms

# 3
Compound: SrTa2Mo
Source: Alexandria
Functional: PBE
Structure: optimized geometry

a = 9.3024 Å, b = 2.8201 Å, c = 6.7502 Å
α = 90.00°, β = 90.50°, γ = 90.00°
Space group C2/m (No. 12)
Unique sites:
Sr 0.0000 0.0000 0.0000 [2 per cell]
Ta 0.2469 0.0000 0.6867 [4 per cell]
Mo 0.0000 0.5000 0.5000 [2 per cell]

Properties
Polymorph energy (0 for the lowest one) = 27.2 kJ per mole of atoms
ΔH_f (0 K) = 0.79 eV per atom

# 4
Compound: YTcB
Source: Alexandria
Functional: PBE
Structure: optimized geometry

a = 10.0746 Å, b = 3.2919 Å, c = 6.3259 Å
α = 90.00°, β = 105.60°, γ = 90.00°
Space group C2/m (No. 12)
Unique sites:
Y 0.1044 0.0000 0.3091 [4 per cell]
Tc 0.1890 0.0000 0.8403 [4 per cell]
B 0.0834 0.5000 0.9638 [4 per cell]

Properties
Polymorph energy (0 for the lowest one) = 4.3 kJ per mole of atoms
ΔH_f (0 K) = -0.16 eV per atom